(1)
Below is an optimized crystal structure of Tl3HgF3, with properties calculated at the PBE level.

Calculated values
ΔE_f (raw): -1460 meV/atom
excess energy over the best structure of this formula in the dataset: 0.00 eV per formula unit

Cell lengths 11.307, 5.332, 11.313 Å; angles 90.00, 119.95, 90.00 degrees
Space group P2_1/m (No. 11)
Unique sites:
Tl (0.139, 0.250, 0.358) [2 per cell]
Tl (0.142, 0.250, 0.781) [2 per cell]
Tl (0.281, 0.750, 0.639) [2 per cell]
Hg (0.333, 0.250, 0.166) [2 per cell]
F (0.109, 0.750, 0.389) [2 per cell]
F (0.111, 0.750, 0.720) [2 per cell]
F (0.220, 0.250, 0.609) [2 per cell]

***

(2)
Below is an optimized crystal structure of Ac4Pr5Dy, with properties calculated at the PBE level.

Calculated values
raw total energy: -44.6 eV per cell

Cell lengths 3.851, 3.851, 26.380 Å; angles 90.00, 90.00, 90.00 degrees
Space group P4/mmm (No. 123)
Unique sites:
Ac (0.000, 0.000, 0.102) [2 per cell]
Ac (0.000, 0.000, 0.306) [2 per cell]
Pr (0.500, 0.500, 0.000) [1 per cell]
Pr (0.500, 0.500, 0.204) [2 per cell]
Pr (0.500, 0.500, 0.409) [2 per cell]
Dy (0.000, 0.000, 0.500) [1 per cell]

***

Please write out number 2 again, unchanged.
Below is an optimized crystal structure of Ac4Pr5Dy, with properties calculated at the PBE level.

Calculated values
raw total energy: -44.6 eV per cell

Cell lengths 3.851, 3.851, 26.380 Å; angles 90.00, 90.00, 90.00 degrees
Space group P4/mmm (No. 123)
Unique sites:
Ac (0.000, 0.000, 0.102) [2 per cell]
Ac (0.000, 0.000, 0.306) [2 per cell]
Pr (0.500, 0.500, 0.000) [1 per cell]
Pr (0.500, 0.500, 0.204) [2 per cell]
Pr (0.500, 0.500, 0.409) [2 per cell]
Dy (0.000, 0.000, 0.500) [1 per cell]